Pu2Si6RuPt after structural relaxation, computed with PBE.

The space group is R-3m (No. 166, hexagonal axes) and the conventional cell measures 5.8488, 5.8488 and 37.3983 Å, with angles of 90.00, 90.00 and 120.00 degrees. The asymmetric unit holds Pu at (0.0000, 0.0000, 0.1242), Pu at (0.0000, 0.0000, 0.2801), Si at (0.0554, 0.5277, 0.7189), Si at (0.0670, 0.5335, 0.8685), Ru at (0.0000, 0.0000, 0.0000), Ru at (0.0000, 0.0000, 0.5000) and Pt at (0.0000, 0.0000, 0.4221).

The calculation puts the uncorrected formation energy at -369 meV per atom. As for the volume: 18.47 Å³/atom.